{"formula": "Mn3B2O6", "functional": "GGA+U", "state": "relaxed", "dft_energy_ha_per_atom": -0.2944, "total_magnetization_mub_per_cell": 30.0, "mass_density_g_cm3": 3.9, "n_ef_per_ev_atom": 0.0000, "volume_a3_per_cell": 239.0, "lattice_angstrom": [[-2.213, -1.993, -3.631], [0.232, -5.106, 2.662], [-7.781, 1.648, 3.838]], "species": ["Mn", "Mn", "Mn", "Mn", "Mn", "Mn", "O", "O", "O", "O", "O", "O", "O", "O", "O", "O", "O", "O", "B", "B", "B", "B"], "fractional_positions": [[0.000, 0.000, 0.000], [0.000, 0.500, 0.188], [0.500, 0.500, 0.500], [0.500, 0.000, 0.312], [0.500, 0.000, 0.688], [0.000, 0.500, 0.812], [0.747, 0.682, 0.000], [0.812, 0.712, 0.634], [0.688, 0.212, 0.134], [0.253, 0.318, 0.000], [0.188, 0.288, 0.634], [0.247, 0.818, 0.500], [0.312, 0.788, 0.134], [0.812, 0.712, 0.366], [0.753, 0.182, 0.500], [0.188, 0.288, 0.366], [0.312, 0.788, 0.866], [0.688, 0.212, 0.866], [0.961, 0.757, 0.500], [0.461, 0.743, 0.000], [0.539, 0.257, 0.000], [0.039, 0.243, 0.500]]}